SrGdTh: relaxed, PBE-GGA.

POSCAR file:
```
SrGdTh
1.0
0.000 3.994 3.994
3.994 0.000 3.994
3.994 3.994 0.000
Sr Gd Th
1 1 1
direct
0.000 0.000 0.000
0.250 0.250 0.250
0.750 0.750 0.750
```

Properties
space group: F-43m
raw total energy: -3.4237 eV per atom
total moment: 0.7 μB/cell


Sr4GdTm: relaxed, PBE-GGA.

POSCAR file:
```
Sr4GdTm
1.0
5.186 -5.194 0.000
5.186 5.194 0.000
0.000 0.000 6.314
Sr Gd Tm
4 1 1
direct
0.176 0.824 0.000
0.323 0.323 0.500
0.677 0.677 0.500
0.824 0.176 0.000
0.500 0.500 0.000
0.000 0.000 0.500
```

Properties
space group: Cmmm
raw total energy: -1.7396 eV per atom
total moment: 0.4 μB/cell


SrGdTm: relaxed, PBE-GGA.

POSCAR file:
```
SrGdTm
1.0
0.000 4.045 4.045
4.045 0.000 4.045
4.045 4.045 0.000
Sr Gd Tm
1 1 1
direct
0.000 0.000 0.000
0.500 0.500 0.500
0.750 0.750 0.750
```

Properties
space group: F-43m
raw total energy: -2.8013 eV per atom
total moment: 0.0 μB/cell


SrGdZn: relaxed, PBE-GGA.

POSCAR file:
```
SrGdZn
1.0
0.000 3.688 3.688
3.688 0.000 3.688
3.688 3.688 0.000
Sr Gd Zn
1 1 1
direct
0.000 0.000 0.000
0.500 0.500 0.500
0.750 0.750 0.750
```

Properties
offset from the most stable computed form: 0.000 eV/atom
space group: F-43m
total moment: 0.0 μB/cell


SrGdZn4: relaxed, PBE-GGA.

POSCAR file:
```
SrGdZn4
1.0
-2.279 3.738 3.853
2.279 -3.738 3.853
2.279 3.738 -3.853
Sr Gd Zn
1 1 4
direct
0.000 0.000 0.000
0.570 0.070 0.500
0.182 0.375 0.807
0.419 0.708 0.712
0.568 0.375 0.193
0.996 0.708 0.288
```

Properties
space group: Imm2
raw total energy: -2.1862 eV per atom
total moment: 0.0 μB/cell


Gd2Ta: relaxed, PBE-GGA.

POSCAR file:
```
Gd2Ta
1.0
0.000 4.261 4.261
4.261 0.000 4.261
4.261 4.261 0.000
Gd Ta
4 2
direct
0.000 0.000 0.000
0.000 0.000 0.500
0.000 0.500 0.000
0.500 0.000 0.000
0.375 0.375 0.375
0.625 0.625 0.625
```

Properties
space group: Fd-3m
raw total energy: -6.0234 eV per atom
total moment: 0.0 μB/cell


GdTa2: relaxed, PBE-GGA.

POSCAR file:
```
GdTa2
1.0
4.901 0.000 0.000
-2.450 4.244 0.000
0.000 0.000 3.084
Gd Ta
1 2
direct
0.000 0.000 0.000
0.333 0.667 0.399
0.667 0.333 0.601
```

Properties
offset from the most stable computed form: 0.133 eV/atom
space group: P-3m1
total moment: 0.0 μB/cell


GdTaTl: relaxed, PBE-GGA.

POSCAR file:
```
GdTaTl
1.0
0.000 3.443 3.443
3.443 0.000 3.443
3.443 3.443 0.000
Gd Ta Tl
1 1 1
direct
0.000 0.000 0.000
0.500 0.500 0.500
0.250 0.250 0.250
```

Properties
space group: F-43m
raw total energy: -5.5046 eV per atom
total moment: 0.0 μB/cell


GdTmTa: relaxed, PBE-GGA.

POSCAR file:
```
GdTmTa
1.0
0.000 3.526 3.526
3.526 0.000 3.526
3.526 3.526 0.000
Gd Tm Ta
1 1 1
direct
0.000 0.000 0.000
0.250 0.250 0.250
0.500 0.500 0.500
```

Properties
space group: F-43m
raw total energy: -5.7186 eV per atom
total moment: 1.4 μB/cell


GdUTa: relaxed, PBE-GGA.

POSCAR file:
```
GdUTa
1.0
0.000 3.422 3.422
3.422 0.000 3.422
3.422 3.422 0.000
Gd U Ta
1 1 1
direct
0.000 0.000 0.000
0.750 0.750 0.750
0.500 0.500 0.500
```

Properties
space group: F-43m
raw total energy: -7.8262 eV per atom
total moment: 3.2 μB/cell


GdYTa: relaxed, PBE-GGA.

POSCAR file:
```
GdYTa
1.0
0.000 3.561 3.561
3.561 0.000 3.561
3.561 3.561 0.000
Gd Y Ta
1 1 1
direct
0.000 0.000 0.000
0.250 0.250 0.250
0.500 0.500 0.500
```

Properties
space group: F-43m
raw total energy: -6.3117 eV per atom
total moment: 1.5 μB/cell


GdTaZn: relaxed, PBE-GGA.

POSCAR file:
```
GdTaZn
1.0
0.000 3.250 3.250
3.250 0.000 3.250
3.250 3.250 0.000
Gd Ta Zn
1 1 1
direct
0.000 0.000 0.000
0.500 0.500 0.500
0.250 0.250 0.250
```

Properties
space group: F-43m
raw total energy: -5.3287 eV per atom
total moment: 0.0 μB/cell


TbGd: relaxed, PBE-GGA.

POSCAR file:
```
TbGd
1.0
3.623 0.000 0.000
-1.812 3.138 0.000
0.000 0.000 5.697
Tb Gd
1 1
direct
0.000 0.000 0.000
0.333 0.667 0.500
```

Properties
offset from the most stable computed form: 0.000 eV/atom
space group: P-6m2
total moment: 0.0 μB/cell


TbGd: relaxed, PBE-GGA.

POSCAR file:
```
TbGd
1.0
0.000 3.233 3.233
3.233 0.000 3.233
3.233 3.233 0.000
Tb Gd
1 1
direct
0.000 0.000 0.000
0.500 0.500 0.500
```

Properties
offset from the most stable computed form: 0.735 eV/atom
space group: Fm-3m
total moment: 1.0 μB/cell


TbGd: relaxed, PBE-GGA.

POSCAR file:
```
TbGd
1.0
0.000 3.481 3.481
3.481 0.000 3.481
3.481 3.481 0.000
Tb Gd
1 1
direct
0.000 0.000 0.000
0.250 0.250 0.250
```

Properties
offset from the most stable computed form: 1.861 eV/atom
space group: F-43m
total moment: 0.0 μB/cell


Tb2Gd: relaxed, PBE-GGA.

POSCAR file:
```
Tb2Gd
1.0
0.000 6.255 6.255
6.255 0.000 6.255
6.255 6.255 0.000
Tb Gd
4 2
direct
0.000 0.000 0.000
0.000 0.000 0.500
0.000 0.500 0.000
0.500 0.000 0.000
0.125 0.125 0.125
0.875 0.875 0.875
```

Properties
offset from the most stable computed form: 2.257 eV/atom
space group: Fd-3m
total moment: 0.0 μB/cell


TbGdTe2: relaxed, PBE-GGA.

POSCAR file:
```
TbGdTe2
1.0
4.376 0.000 0.000
0.000 4.376 0.000
0.000 0.000 6.195
Tb Gd Te
1 1 2
direct
0.000 0.000 0.000
0.500 0.500 0.500
0.000 0.000 0.500
0.500 0.500 0.000
```

Properties
offset from the most stable computed form: 0.011 eV/atom
space group: P4/mmm
total moment: 0.0 μB/cell


Tb2GdTe3: relaxed, PBE-GGA.

POSCAR file:
```
Tb2GdTe3
1.0
4.371 0.000 0.000
-2.185 3.785 0.000
0.000 0.000 10.726
Tb Gd Te
2 1 3
direct
0.333 0.667 0.166
0.667 0.333 0.834
0.000 0.000 0.500
0.000 0.000 0.000
0.333 0.667 0.668
0.667 0.333 0.332
```

Properties
space group: P-3m1
raw total energy: -5.2094 eV per atom
total moment: 0.0 μB/cell


TbGdTe2: relaxed, PBE-GGA.

POSCAR file:
```
TbGdTe2
1.0
4.247 0.000 0.000
-2.123 3.678 0.000
0.000 0.000 7.700
Tb Gd Te
1 1 2
direct
0.000 0.000 0.000
0.000 0.000 0.500
0.333 0.667 0.752
0.667 0.333 0.248
```

Properties
offset from the most stable computed form: 0.000 eV/atom
space group: P-3m1
total moment: 0.0 μB/cell


TbGdTe: relaxed, PBE-GGA.

POSCAR file:
```
TbGdTe
1.0
0.000 3.591 3.591
3.591 0.000 3.591
3.591 3.591 0.000
Tb Gd Te
1 1 1
direct
0.000 0.000 0.000
0.500 0.500 0.500
0.250 0.250 0.250
```

Properties
offset from the most stable computed form: 0.000 eV/atom
space group: F-43m
total moment: 0.7 μB/cell